DyHo2WO8 | PBE+U | optimized geometry

POSCAR file:
```
DyHo2WO8
1.0
3.5392 -3.5860 0.0000
3.5392 3.5860 0.0000
0.0000 0.0000 6.8036
Dy Ho W O
1 2 1 8
direct
0.0000 0.0000 0.0000
0.5000 0.5000 0.2510
0.5000 0.5000 0.7490
0.0000 0.0000 0.5000
0.1838 0.8162 0.2872
0.1838 0.8162 0.7128
0.2765 0.2765 0.5000
0.3085 0.3085 0.0000
0.6915 0.6915 0.0000
0.7235 0.7235 0.5000
0.8162 0.1838 0.2872
0.8162 0.1838 0.7128
```

- density of states at the Fermi level (states/eV/atom) = 0.63
- VASP energy (eV/atom) = -7.9151